Ba2MgCu, relaxed, DFT PBE-GGA; formation enthalpy at 0 K = 0.0719 eV/atom; total magnetic moment = 0.000 μB per cell; space-group type = P4mm (99)
1.0
3.8938 0.0102 0.0000
-0.0104 3.8938 0.0000
0.0000 0.0000 9.4618
Ba Mg Cu
2 1 1
Direct
0.0000 0.0000 0.9335
0.5000 0.5000 0.3286
0.5000 0.5000 0.6770
0.0000 0.0000 0.5609